Computed, not measured: a relaxed LiRuBr crystal at the PBE level of DFT.

The space group is R3m (No. 160, hexagonal axes) and the conventional cell measures 3.7507, 3.7507 and 31.0039 Å, with angles of 90.00, 90.00 and 120.00 degrees. The distinct sites, in fractional coordinates, are Li at (0.0000, 0.0000, 0.0000), Li at (0.0000, 0.0000, 0.1065), Ru at (0.0000, 0.0000, 0.2644), Ru at (0.0000, 0.0000, 0.9012), Br at (0.0000, 0.0000, 0.3848) and Br at (0.0000, 0.0000, 0.8202).

The value obtained for the magnetic moment is 0.0 μB per formula unit. Its formation energy from raw total energies is -0.357 eV per atom. For the excess energy over the best structure of this formula in the dataset, the calculation gives 9 meV/atom.

Computed, not measured: a relaxed Cd3ReH crystal at the PBE level of DFT.

The space group is Pm-3m (No. 221) and the conventional cell measures 4.2948, 4.2948 and 4.2948 Å, with angles of 90.00, 90.00 and 90.00 degrees. The distinct sites, in fractional coordinates, are Cd at (0.0000, 0.0000, 0.5000), Re at (0.5000, 0.5000, 0.5000) and H at (0.0000, 0.0000, 0.0000).

The value obtained for the magnetic moment is 0.1 μB per formula unit. Its uncorrected energy is -2.912 eV per atom.

- Which of these has the lowest magnetic moment?
  LiRuBr

- What is the magnetic moment in the first record?
  0.0 μB per formula unit

- The highest magnetic moment belongs to which entry?
  Cd3ReH